VASP calculation (PBE) on Nd2Er3Tl3 after structural relaxation.

Results
Formation energy (eV per atom): -0.237
Total magnetization (μB/atom): 0.000

Unit cell a=4.9479 b=5.0462 c=9.2149 alpha=90.00 beta=90.00 gamma=90.00
With the nearest neighbours (Å) after each atom.
Atoms (fractional coordinates):
Er 0.5000 0.0000 0.0000  4 Nd 3.41, 4 Tl 3.53, 4 Er 3.54
Er 0.5000 0.5000 0.7300  6 Tl 3.26-3.51, 4 Nd 3.54, 2 Er 3.54
Er 0.5000 0.5000 0.2700  6 Tl 3.26-3.51, 4 Nd 3.54, 2 Er 3.54
Tl 0.0000 0.5000 0.0000  4 Nd 3.45, 8 Er 3.51-3.53
Tl 0.0000 0.5000 0.5000  4 Er 3.26, 4 Nd 3.39, 4 Tl 3.53
Tl 0.5000 0.0000 0.5000  4 Er 3.29, 4 Nd 3.35, 4 Tl 3.53
Nd 0.0000 0.0000 0.7450  6 Tl 3.35-3.45, 6 Er 3.41-3.54
Nd 0.0000 0.0000 0.2550  6 Tl 3.35-3.45, 6 Er 3.41-3.54

---

VASP calculation (PBE) on MgAl4Os after structural relaxation.

Results
Formation energy (eV per atom): 0.054
Total magnetization (μB/atom): 0.000

Unit cell a=5.0878 b=5.0878 c=5.0878 alpha=60.00 beta=60.00 gamma=60.00
With the nearest neighbours (Å) after each atom.
Atoms (fractional coordinates):
Al 0.1213 0.6262 0.6262  6 Al 2.52-2.57
Al 0.6262 0.1213 0.6262  6 Al 2.52-2.57
Al 0.6262 0.6262 0.6262  6 Al 2.52-2.57
Al 0.6262 0.6262 0.1213  6 Al 2.52-2.57
Mg 0.2500 0.2500 0.2500  12 Al 2.99, 4 Os 3.12
Os 0.0000 0.0000 0.0000  12 Al 2.98, 4 Mg 3.12

---

VASP calculation (PBE) on Sr2MgGa2O6 after structural relaxation.

Results
Uncorrected formation energy (eV per atom): -2.1741
Total magnetization (μB/atom): 0.000

Unit cell a=5.8240 b=5.8240 c=6.5108 alpha=63.43 beta=63.43 gamma=60.00
With the nearest neighbours (Å) after each atom.
Atoms (fractional coordinates):
Sr 0.2023 0.2023 0.3931  3 O 2.53
Sr 0.7977 0.7977 0.6069  3 O 2.53
Ga 0.4132 0.4132 0.7603  3 O 1.78
Ga 0.5868 0.5868 0.2397  3 O 1.78
O 0.2417 0.7704 0.7463  1 Ga 1.78
O 0.7704 0.2417 0.7463  1 Ga 1.78
O 0.7583 0.7583 0.2537  1 Ga 1.78
O 0.7583 0.2296 0.2537  1 Ga 1.78
O 0.2296 0.7583 0.2537  1 Ga 1.78
O 0.2417 0.2417 0.7463  1 Ga 1.78
Mg 0.0000 0.0000 0.0000  6 O 2.12

---

VASP calculation (PBE) on PrHfGe after structural relaxation.

Results
Formation energy (eV per atom): -0.520
Energy relative to the lowest polymorph listed for this composition (meV/atom): 73
Total magnetization (μB/atom): 0.000

Unit cell a=4.3079 b=7.6538 c=7.6538 alpha=120.00 beta=90.00 gamma=90.00
With the nearest neighbours (Å) after each atom.
Atoms (fractional coordinates):
Ge 0.5000 0.6667 0.3333  3 Hf 2.99, 6 Pr 3.16
Ge 0.0000 0.0000 0.0000  6 Hf 2.81, 3 Pr 3.13
Ge 0.5000 0.3333 0.6667  3 Hf 2.99, 6 Pr 3.16
Hf 0.5000 0.0000 0.7633  4 Ge 2.81-2.99, 2 Hf 3.14
Hf 0.5000 0.2367 0.2367  4 Ge 2.81-2.99, 2 Hf 3.14
Hf 0.5000 0.7633 0.0000  4 Ge 2.81-2.99, 2 Hf 3.14
Pr 0.0000 0.4088 0.0000  5 Ge 3.13-3.16, 6 Hf 3.46-3.47
Pr 0.0000 0.5912 0.5912  5 Ge 3.13-3.16, 6 Hf 3.46-3.47
Pr 0.0000 0.0000 0.4088  5 Ge 3.13-3.16, 6 Hf 3.46-3.47

---

VASP calculation (PBE) on B3Mo after structural relaxation.

Results
Formation energy (eV per atom): -0.320
Total magnetization (μB/atom): 0.000

Unit cell a=4.3468 b=4.3468 c=4.3468 alpha=73.95 beta=73.95 gamma=73.95
With the nearest neighbours (Å) after each atom.
Atoms (fractional coordinates):
B 0.3350 0.6650 0.0000  3 B 1.73-1.75
B 0.6650 0.0000 0.3350  3 B 1.73-1.75
B 0.3350 0.0000 0.6650  3 B 1.73-1.75
B 0.0000 0.6650 0.3350  3 B 1.73-1.75
B 0.6650 0.3350 0.0000  3 B 1.73-1.75
B 0.0000 0.3350 0.6650  3 B 1.73-1.75
Mo 0.8350 0.8350 0.8350  12 B 2.34-2.35
Mo 0.1650 0.1650 0.1650  12 B 2.34-2.35